No. 1
# ZnAgIr2 PBE-GGA relaxed
# Mass density: 15.1 g/cm3
# Energy of formation: 0.2935 eV/atom
# E_tot: -5.1683 eV per atom
data_ZnAgIr2
_chemical_formula_sum 'Zn1 Ag1 Ir2'
_cell_length_a 2.744
_cell_length_b 3.980
_cell_length_c 5.608
_cell_angle_alpha 90.00
_cell_angle_beta 90.00
_cell_angle_gamma 90.00
_symmetry_space_group_name_H-M 'P m m m'
_symmetry_Int_Tables_number 47
loop_
_symmetry_equiv_pos_as_xyz
'x,y,z'
'-x,-y,-z'
'-x,-y,z'
'x,y,-z'
'x,-y,-z'
'-x,y,z'
'-x,y,-z'
'x,-y,z'
loop_
_atom_site_label
_atom_site_type_symbol
_atom_site_fract_x
_atom_site_fract_y
_atom_site_fract_z
_atom_site_occupancy
Zn1 Zn 0.000 0.000 0.000 1
Ag1 Ag 0.000 0.000 0.500 1
Ir1 Ir 0.500 0.500 0.229 1

---

No. 2
# AcSnTe3 PBE-GGA relaxed
# Mass density: 7.2 g/cm3
# E_form (uncorrected): -0.91 eV/atom
# E_tot: -4.4140 eV per atom
data_AcSnTe3
_chemical_formula_sum 'Ac4 Sn4 Te12'
_cell_length_a 9.049
_cell_length_b 4.678
_cell_length_c 15.866
_cell_angle_alpha 90.00
_cell_angle_beta 90.00
_cell_angle_gamma 90.00
_symmetry_space_group_name_H-M 'P n m a'
_symmetry_Int_Tables_number 62
loop_
_symmetry_equiv_pos_as_xyz
'x,y,z'
'-x,-y,-z'
'-x+1/2,-y,z+1/2'
'x+1/2,y,-z+1/2'
'x+1/2,-y+1/2,-z+1/2'
'-x+1/2,y+1/2,z+1/2'
'-x,y+1/2,-z'
'x,-y+1/2,z'
loop_
_atom_site_label
_atom_site_type_symbol
_atom_site_fract_x
_atom_site_fract_y
_atom_site_fract_z
_atom_site_occupancy
Ac1 Ac 0.095 0.250 0.170 1
Sn1 Sn 0.154 0.750 0.441 1
Te1 Te 0.033 0.750 0.623 1
Te2 Te 0.143 0.750 0.007 1
Te3 Te 0.181 0.250 0.780 1

---

No. 3
# CaZnN2F PBE-GGA relaxed
# Mass density: 3.9 g/cm3
# E above lowest polymorph: 0.00 kJ/mol of atoms
# E_form (uncorrected): -0.29 eV/atom
# E_tot: -4.6468 eV per atom
data_CaZnN2F
_chemical_formula_sum 'Ca1 Zn1 N2 F1'
_cell_length_a 3.796
_cell_length_b 3.796
_cell_length_c 4.450
_cell_angle_alpha 90.00
_cell_angle_beta 90.00
_cell_angle_gamma 90.00
_symmetry_space_group_name_H-M 'P 4/m m m'
_symmetry_Int_Tables_number 123
_symmetry_space_group_name_Hall '-P 4 2'
loop_
_atom_site_label
_atom_site_type_symbol
_atom_site_fract_x
_atom_site_fract_y
_atom_site_fract_z
_atom_site_occupancy
Ca1 Ca 0.000 0.000 0.000 1
Zn1 Zn 0.500 0.500 0.500 1
N1 N 0.000 0.500 0.500 1
F1 F 0.500 0.500 0.000 1

---

No. 4
# TcTe2W PBE-GGA relaxed
# Mass density: 12.2 g/cm3
# E above lowest polymorph: 35.92 kJ/mol of atoms
# E_form (uncorrected): 0.54 eV/atom
# E_tot: -6.8597 eV per atom
data_TcTe2W
_chemical_formula_sum 'Tc4 Te8 W4'
_cell_length_a 6.640
_cell_length_b 6.640
_cell_length_c 6.640
_cell_angle_alpha 90.00
_cell_angle_beta 90.00
_cell_angle_gamma 90.00
_symmetry_space_group_name_H-M 'F m -3 m'
_symmetry_Int_Tables_number 225
_symmetry_space_group_name_Hall '-F 4 2 3'
loop_
_atom_site_label
_atom_site_type_symbol
_atom_site_fract_x
_atom_site_fract_y
_atom_site_fract_z
_atom_site_occupancy
Tc1 Tc 0.000 0.000 0.000 1
Te1 Te 0.250 0.250 0.250 1
W1 W 0.000 0.000 0.500 1

---

Which value of mass density does entry 1 give?
15.1 g/cm3

---

Look up the mass density of the first one.
15.1 g/cm3

---

mass density of number 1 (ZnAgIr2)?
15.1 g/cm3